Entry 1:
A plane-wave DFT calculation with GGA-PBEsol was carried out for a relaxed MgIn2Hg crystal.

Theoretical density ... 8211 kg/m³
N(E_F) ... 0.41 states/eV per atom
Total moment ... 0.00 μB per cell
Total energy ... -2.16 eV per atom
SG ... No. 139
DFT formation energy ... -38.9 kJ/mol of formula units

POSCAR file:
```
MgIn2Hg
1.0
-2.049 2.709 -2.720
0.927 -2.643 -3.330
-3.594 -2.429 3.770
Mg Hg In
1 1 2
Direct
0.500 0.500 0.000
0.000 0.000 0.000
0.750 0.250 0.500
0.250 0.750 0.500
```

Entry 2:
A plane-wave DFT calculation with GGA-PBEsol was carried out for a relaxed MgIn2Hg2 crystal.

Theoretical density ... 8767 kg/m³
ΔE to the lowest computed polymorph ... 39.4 kJ/mol of formula units
N(E_F) ... 0.35 states/eV per atom
Total moment ... 0.00 μB per cell
Total energy ... -1.74 eV per atom
SG ... No. 139
DFT formation energy ... 10.5 kJ/mol of formula units

POSCAR file:
```
MgIn2Hg2
1.0
4.292 0.000 0.000
0.000 4.292 0.000
-2.146 -2.146 6.736
Mg Hg In
1 2 2
Direct
0.000 0.000 0.000
0.400 0.400 0.799
0.600 0.600 0.201
0.250 0.750 0.500
0.750 0.250 0.500
```

Entry 3:
A plane-wave DFT calculation with GGA-PBEsol was carried out for a relaxed MgIn2Hg crystal.

Theoretical density ... 8194 kg/m³
N(E_F) ... 0.36 states/eV per atom
Total moment ... 0.00 μB per cell
Total energy ... -2.17 eV per atom
SG ... No. 123
DFT formation energy ... -40.9 kJ/mol of formula units

POSCAR file:
```
MgIn2Hg
1.0
-0.742 4.379 0.408
-4.078 -0.839 1.598
1.709 -0.111 4.303
Mg Hg In
1 1 2
Direct
0.500 0.500 0.500
0.000 0.000 0.500
0.000 0.500 0.000
0.500 0.000 0.000
```

Entry 4:
A plane-wave DFT calculation with GGA-PBEsol was carried out for a relaxed MgIn2Hg crystal.

Theoretical density ... 8185 kg/m³
N(E_F) ... 0.42 states/eV per atom
Total moment ... 0.00 μB per cell
Total energy ... -2.16 eV per atom
SG ... No. 25
DFT formation energy ... -37.3 kJ/mol of formula units

POSCAR file:
```
MgIn2Hg
1.0
3.384 0.000 0.000
0.000 4.318 0.000
0.000 0.000 6.310
Mg Hg In
1 1 2
Direct
0.000 0.000 0.514
0.500 0.500 0.733
0.000 0.000 0.001
0.500 0.500 0.253
```

Entry 5:
A plane-wave DFT calculation with GGA-PBEsol was carried out for a relaxed Mg2InHg crystal.

Theoretical density ... 6882 kg/m³
N(E_F) ... 0.41 states/eV per atom
Total moment ... 0.00 μB per cell
Total energy ... -1.91 eV per atom
SG ... No. 8
DFT formation energy ... -64.2 kJ/mol of formula units

POSCAR file:
```
Mg2InHg
1.0
3.437 0.000 0.000
0.000 4.981 -0.230
-1.718 -1.040 5.179
Mg Hg In
2 1 1
Direct
0.995 0.964 0.990
0.760 0.296 0.520
0.500 0.453 0.001
0.244 0.787 0.489
```

Entry 6:
A plane-wave DFT calculation with GGA-PBEsol was carried out for a relaxed MgIn2Hg crystal.

Theoretical density ... 8189 kg/m³
N(E_F) ... 0.46 states/eV per atom
Total moment ... 0.00 μB per cell
Total energy ... -2.16 eV per atom
SG ... No. 119
DFT formation energy ... -37.6 kJ/mol of formula units

POSCAR file:
```
MgIn2Hg
1.0
4.521 0.000 0.000
0.000 4.521 0.000
-2.260 -2.260 4.510
Mg Hg In
1 1 2
Direct
0.500 0.500 0.000
0.250 0.750 0.500
0.000 0.000 0.000
0.750 0.250 0.500
```

Entry 7:
A plane-wave DFT calculation with GGA-PBEsol was carried out for a relaxed MgIn2Hg crystal.

Theoretical density ... 8108 kg/m³
N(E_F) ... 0.41 states/eV per atom
Total moment ... 0.00 μB per cell
Total energy ... -2.12 eV per atom
SG ... No. 123
DFT formation energy ... -20.8 kJ/mol of formula units

POSCAR file:
```
MgIn2Hg
1.0
-0.057 -2.250 2.461
2.155 -1.903 -1.690
6.386 3.919 3.731
Hg In Mg
1 2 1
Direct
0.500 0.500 0.500
0.000 0.000 0.752
0.000 0.000 0.248
0.500 0.500 0.000
```

Entry 8:
A plane-wave DFT calculation with GGA-PBEsol was carried out for a relaxed Mg2InHg crystal.

Theoretical density ... 6737 kg/m³
N(E_F) ... 0.37 states/eV per atom
Total moment ... 0.00 μB per cell
Total energy ... -1.85 eV per atom
SG ... No. 99
DFT formation energy ... -40.4 kJ/mol of formula units

POSCAR file:
```
Mg2InHg
1.0
3.229 0.000 0.000
0.000 3.229 0.000
0.000 0.000 8.604
Mg Hg In
2 1 1
Direct
0.000 0.000 0.004
0.500 0.500 0.264
0.000 0.000 0.484
0.500 0.500 0.748
```

Entry 9:
A plane-wave DFT calculation with GGA-PBEsol was carried out for a relaxed MgIn2Hg crystal.

Theoretical density ... 8002 kg/m³
N(E_F) ... 0.39 states/eV per atom
Total moment ... 0.00 μB per cell
Total energy ... -2.14 eV per atom
SG ... No. 44
DFT formation energy ... -28.1 kJ/mol of formula units

POSCAR file:
```
MgIn2Hg
1.0
-1.434 -1.898 2.675
4.205 -3.040 0.097
0.787 5.581 1.987
Mg Hg In
1 1 2
Direct
0.488 0.488 0.976
0.762 0.262 0.524
0.009 0.009 0.018
0.241 0.741 0.483
```

Entry 10:
A plane-wave DFT calculation with GGA-PBEsol was carried out for a relaxed Mg2InHg crystal.

Theoretical density ... 7045 kg/m³
N(E_F) ... 0.37 states/eV per atom
Total moment ... 0.00 μB per cell
Total energy ... -1.95 eV per atom
SG ... No. 47
DFT formation energy ... -77.4 kJ/mol of formula units

POSCAR file:
```
Mg2InHg
1.0
3.356 0.000 0.020
0.000 3.762 0.000
-0.042 0.000 6.797
Mg Hg In
2 1 1
Direct
0.000 0.000 0.766
0.000 0.000 0.234
0.500 0.500 0.000
0.500 0.500 0.500
```

Entry 11:
A plane-wave DFT calculation with GGA-PBEsol was carried out for a relaxed MgIn2Hg crystal.

Theoretical density ... 8131 kg/m³
N(E_F) ... 0.40 states/eV per atom
Total moment ... 0.00 μB per cell
Total energy ... -2.15 eV per atom
SG ... No. 12
DFT formation energy ... -33.5 kJ/mol of formula units

POSCAR file:
```
MgIn2Hg
1.0
-0.343 1.902 2.786
0.089 -4.351 2.981
5.318 0.180 -1.531
Mg Hg In
1 1 2
Direct
0.000 0.500 0.000
0.500 0.000 0.000
0.252 0.251 0.503
0.748 0.749 0.497
```

Entry 12:
A plane-wave DFT calculation with GGA-PBEsol was carried out for a relaxed MgIn2Hg crystal.

Theoretical density ... 8160 kg/m³
N(E_F) ... 0.39 states/eV per atom
Total moment ... 0.00 μB per cell
Total energy ... -2.16 eV per atom
SG ... No. 8
DFT formation energy ... -37.2 kJ/mol of formula units

POSCAR file:
```
MgIn2Hg
1.0
-2.217 0.764 -2.441
-0.125 -5.238 0.821
-3.605 1.783 3.833
Mg Hg In
1 1 2
Direct
0.505 0.010 0.516
0.245 0.490 0.732
0.997 0.994 0.001
0.753 0.506 0.251
```

> DFT formation energy of number 8 (Mg2InHg)?

-40.4 kJ/mol of formula units

> Number 7 is which compound?

MgIn2Hg

Please write out number 8 again, unchanged.
A plane-wave DFT calculation with GGA-PBEsol was carried out for a relaxed Mg2InHg crystal.

Theoretical density ... 6737 kg/m³
N(E_F) ... 0.37 states/eV per atom
Total moment ... 0.00 μB per cell
Total energy ... -1.85 eV per atom
SG ... No. 99
DFT formation energy ... -40.4 kJ/mol of formula units

POSCAR file:
```
Mg2InHg
1.0
3.229 0.000 0.000
0.000 3.229 0.000
0.000 0.000 8.604
Mg Hg In
2 1 1
Direct
0.000 0.000 0.004
0.500 0.500 0.264
0.000 0.000 0.484
0.500 0.500 0.748
```

What did the eleventh record say?
A plane-wave DFT calculation with GGA-PBEsol was carried out for a relaxed MgIn2Hg crystal.

Theoretical density ... 8131 kg/m³
N(E_F) ... 0.40 states/eV per atom
Total moment ... 0.00 μB per cell
Total energy ... -2.15 eV per atom
SG ... No. 12
DFT formation energy ... -33.5 kJ/mol of formula units

POSCAR file:
```
MgIn2Hg
1.0
-0.343 1.902 2.786
0.089 -4.351 2.981
5.318 0.180 -1.531
Mg Hg In
1 1 2
Direct
0.000 0.500 0.000
0.500 0.000 0.000
0.252 0.251 0.503
0.748 0.749 0.497
```